## one
A geometry-optimized SrNdNO structure. Source: OQMD, functional PBE.

The structure belongs to space group P4/nmm (No. 129, origin choice 2); the cell edges are 4.221, 4.221 and 8.603 Å and the angles 90.00°, 90.00° and 90.00°. The asymmetric unit holds Sr at (0.250, 0.750, 0.000), Nd at (0.250, 0.250, 0.378), N at (0.250, 0.250, 0.841) and O at (0.250, 0.750, 0.500).

## two
A geometry-optimized SrNdNO structure. Source: OQMD, functional PBE.

The structure belongs to space group Pmc2_1 (No. 26); the cell edges are 4.331, 7.159 and 5.150 Å and the angles 90.00°, 90.00° and 90.00°. The asymmetric unit holds Sr at (0.000, 0.171, 0.000), Nd at (0.500, 0.333, 0.500), N at (0.500, 0.347, 0.995) and O at (0.000, 0.184, 0.499).

Stability check: which of them is least stable? one.

## one
A geometry-optimized NdTcNO structure. Source: OQMD, functional PBE.

The structure belongs to space group P4/nmm (No. 129, origin choice 2); the cell edges are 4.904, 4.904 and 4.574 Å and the angles 90.00°, 90.00° and 90.00°. The asymmetric unit holds Nd at (0.250, 0.750, 0.000), Tc at (0.250, 0.250, 0.500), N at (0.250, 0.250, 0.002) and O at (0.250, 0.750, 0.500).

## two
A geometry-optimized NdTcNO structure. Source: OQMD, functional PBE.

The structure belongs to space group Pca2_1 (No. 29); the cell edges are 6.382, 7.236 and 5.067 Å and the angles 90.00°, 90.00° and 90.00°. The asymmetric unit holds Nd at (0.066, 0.180, 0.000), Tc at (0.136, 0.664, 0.991), N at (0.047, 0.135, 0.490) and O at (0.107, 0.507, 0.659).

## three
A geometry-optimized NdTcNO structure. Source: OQMD, functional PBE.

The structure belongs to space group Pmc2_1 (No. 26); the cell edges are 3.824, 5.447 and 5.195 Å and the angles 90.00°, 90.00° and 90.00°. The asymmetric unit holds Nd at (0.000, 0.207, 0.000), Tc at (0.500, 0.326, 0.499), N at (0.000, 0.329, 0.499) and O at (0.500, 0.003, 0.752).

## four
A geometry-optimized NdTcNO structure. Source: OQMD, functional PBE.

The structure belongs to space group P4/nmm (No. 129, origin choice 2); the cell edges are 3.814, 3.814 and 8.068 Å and the angles 90.00°, 90.00° and 90.00°. The asymmetric unit holds Nd at (0.250, 0.250, 0.157), Tc at (0.250, 0.750, 0.500), N at (0.250, 0.250, 0.616) and O at (0.250, 0.750, 0.000).

Stability check: which of them is least stable? one.